# 1
{"formula": "Mn2Pt4Rh3", "functional": "GGA-PBE", "state": "optimized geometry", "space_group": "C2/m (12)", "lattice": [[-2.474, -2.923, 0.820], [-0.945, -0.523, 4.637], [-5.851, 5.477, 1.860]], "species": ["Pt", "Pt", "Pt", "Pt", "Mn", "Mn", "Rh", "Rh", "Rh"], "frac_coords": [[0.334, 0.332, 0.110], [0.666, 0.668, 0.890], [0.999, 0.003, 0.332], [0.001, 0.997, 0.668], [0.667, 0.667, 0.222], [0.333, 0.333, 0.778], [0.000, 0.000, 0.000], [0.666, 0.668, 0.548], [0.334, 0.332, 0.452]]}

***

# 2
{"formula": "MnPt4Rh", "functional": "GGA-PBE", "state": "optimized geometry", "space_group": "C2/m (12)", "e_above_lowest_polymorph_mev_per_atom": 0, "lattice": [[6.440, 0.922, 0.345], [-0.589, 4.929, -2.183], [2.360, 0.167, 6.475]], "species": ["Pt", "Pt", "Pt", "Pt", "Pt", "Pt", "Pt", "Pt", "Mn", "Mn", "Rh", "Rh"], "frac_coords": [[0.546, 0.385, 0.269], [0.546, 0.884, 0.269], [0.844, 0.207, 0.414], [0.156, 0.793, 0.586], [0.000, 0.244, 0.000], [0.454, 0.116, 0.731], [0.454, 0.615, 0.731], [0.000, 0.756, 0.000], [0.833, 0.721, 0.441], [0.167, 0.279, 0.559], [0.729, 0.431, 0.863], [0.271, 0.569, 0.137]]}

***

# 3
{"formula": "MnPt3Rh12", "functional": "GGA-PBE", "state": "optimized geometry", "space_group": "P4/mmm (123)", "lattice": [[3.858, 0.000, 0.000], [0.000, 3.858, 0.000], [0.000, 0.000, 15.435]], "species": ["Rh", "Rh", "Rh", "Rh", "Rh", "Rh", "Rh", "Rh", "Rh", "Rh", "Rh", "Rh", "Mn", "Pt", "Pt", "Pt"], "frac_coords": [[0.500, 0.500, 0.000], [0.000, 0.500, 0.879], [0.000, 0.500, 0.626], [0.000, 0.500, 0.374], [0.500, 0.000, 0.879], [0.500, 0.000, 0.626], [0.000, 0.500, 0.121], [0.500, 0.000, 0.121], [0.500, 0.500, 0.752], [0.500, 0.500, 0.500], [0.500, 0.000, 0.374], [0.500, 0.500, 0.248], [0.000, 0.000, 0.000], [0.000, 0.000, 0.249], [0.000, 0.000, 0.751], [0.000, 0.000, 0.500]]}

***

# 4
{"formula": "MnPtRh2", "functional": "GGA-PBE", "state": "optimized geometry", "space_group": "I-4m2 (119)", "lattice": [[4.721, -0.006, 0.000], [1.575, 4.451, 0.000], [-3.148, -2.222, 2.728]], "species": ["Rh", "Rh", "Pt", "Mn"], "frac_coords": [[0.250, 0.750, 0.500], [0.000, 0.000, 0.000], [0.750, 0.250, 0.500], [0.500, 0.500, 0.000]]}

***

# 5
{"formula": "MnPtRh2", "functional": "GGA-PBE", "state": "optimized geometry", "space_group": "Cmmm (65)", "lattice": [[4.679, 0.048, 0.000], [-1.516, 4.427, 0.000], [0.000, 0.000, 2.777]], "species": ["Pt", "Mn", "Rh", "Rh"], "frac_coords": [[0.000, 0.500, 0.500], [0.500, 0.000, 0.500], [0.500, 0.500, 0.000], [0.000, 0.000, 0.000]]}

***

# 6
{"formula": "MnPt2Rh6", "functional": "GGA-PBE", "state": "optimized geometry", "space_group": "C2/m (12)", "lattice": [[3.817, 0.089, 0.608], [2.036, 9.289, -1.857], [-1.238, -2.330, 8.108]], "species": ["Pt", "Pt", "Pt", "Pt", "Rh", "Rh", "Rh", "Rh", "Rh", "Rh", "Rh", "Rh", "Rh", "Rh", "Rh", "Rh", "Mn", "Mn"], "frac_coords": [[0.474, 0.552, 0.177], [0.526, 0.448, 0.823], [0.874, 0.753, 0.381], [0.126, 0.247, 0.619], [0.365, 0.771, 0.898], [0.919, 0.663, 0.033], [0.030, 0.439, 0.322], [0.578, 0.345, 0.464], [0.081, 0.337, 0.967], [0.635, 0.229, 0.102], [0.272, 0.957, 0.578], [0.728, 0.043, 0.422], [0.186, 0.127, 0.251], [0.970, 0.561, 0.678], [0.814, 0.873, 0.749], [0.422, 0.655, 0.536], [0.777, 0.945, 0.090], [0.223, 0.055, 0.910]]}

***

no.,size of the total moment (μB/f.u.),ΔH_f (0 K) (eV per atom)
1,6.6,-0.206
2,4.2,0.055
3,1.6,-0.047
4,3.1,-0.170
5,3.5,-0.139
6,2.3,0.094